[1]
The following is a PBE-GGA calculation of crystalline Ni3Se4 at its relaxed geometry, from Alexandria via LeMat-Bulk.

## Properties
- energy relative to the elements, uncorrected (eV/f.u.) = -1.95
- total moment (Bohr magnetons per cell) = 0.00
- ρ (g/cm³) = 6.9
- volume (Å³/cell) = 118

Cell lengths 6.2640, 6.3285, 3.6795 Å; angles 73.10, 72.92, 58.98 degrees
Last column: nearest neighbours and their distance in Å.
Positions (direct):
Se1 0.2935 0.9774 0.3646  5 Ni 2.48-2.51
Se2 0.7065 0.0226 0.6354  5 Ni 2.48-2.51
Se3 0.2212 0.5416 0.1186  4 Ni 2.40-2.45
Se4 0.7788 0.4584 0.8814  4 Ni 2.40-2.45
Ni1 0.2404 0.2793 0.7402  6 Se 2.40-2.51
Ni2 0.0000 0.0000 0.0000  6 Se 2.45-2.50, 2 Ni 2.69
Ni3 0.7596 0.7207 0.2598  6 Se 2.40-2.51



[2]
The following is a PBE-GGA calculation of crystalline Ni6Se7 at its relaxed geometry, from Alexandria via LeMat-Bulk.

## Properties
- energy relative to the elements, uncorrected (eV/f.u.) = 6.92
- total moment (Bohr magnetons per cell) = 0.00
- ρ (g/cm³) = 6.3
- volume (Å³/cell) = 240

Cell lengths 8.6950, 8.6950, 8.6950 Å; angles 39.57, 39.57, 39.57 degrees
Last column: nearest neighbours and their distance in Å.
Positions (direct):
Ni1 0.0850 0.0850 0.0850  1 Ni 2.47
Ni2 0.3342 0.3342 0.3342  6 Se 2.42-2.46
Ni3 0.1877 0.1877 0.1877  3 Se 2.41, 1 Ni 2.47
Ni4 0.9150 0.9150 0.9150  1 Ni 2.47
Ni5 0.8123 0.8123 0.8123  3 Se 2.41, 1 Ni 2.47
Ni6 0.6658 0.6658 0.6658  6 Se 2.42-2.46
Se1 0.5000 0.5000 0.5000  6 Se 2.85
Se2 0.5773 0.5773 0.0640  3 Ni 2.41-2.46
Se3 0.4227 0.9360 0.4227  3 Ni 2.41-2.46
Se4 0.0640 0.5773 0.5773  3 Ni 2.41-2.46
Se5 0.9360 0.4227 0.4227  3 Ni 2.41-2.46
Se6 0.5773 0.0640 0.5773  3 Ni 2.41-2.46
Se7 0.4227 0.4227 0.9360  3 Ni 2.41-2.46



[3]
The following is a PBE-GGA calculation of crystalline Ni5Se4 at its relaxed geometry, from Alexandria via LeMat-Bulk.

## Properties
- energy relative to the elements, uncorrected (eV/f.u.) = 1.02
- total moment (Bohr magnetons per cell) = 0.00
- ρ (g/cm³) = 7.9
- volume (Å³/cell) = 257

Cell lengths 7.4942, 7.4942, 5.2828 Å; angles 90.00, 90.00, 120.00 degrees
Last column: nearest neighbours and their distance in Å.
Positions (direct):
Ni1 0.6667 0.3333 0.0000  8 Ni 2.64-2.91, 6 Se 2.68
Ni2 0.0000 0.3081 0.7500  1 Se 2.30
Ni3 0.6667 0.3333 0.5000  8 Ni 2.64-2.91, 6 Se 2.68
Ni4 0.3333 0.6667 0.5000  8 Ni 2.64-2.91, 6 Se 2.68
Ni5 0.6919 0.6919 0.7500  1 Se 2.30
Ni6 0.3081 0.0000 0.7500  1 Se 2.30
Ni7 0.6919 0.0000 0.2500  1 Se 2.30
Ni8 0.3081 0.3081 0.2500  1 Se 2.30
Ni9 0.3333 0.6667 0.0000  8 Ni 2.64-2.91, 6 Se 2.68
Ni10 0.0000 0.6919 0.2500  1 Se 2.30
Se1 0.0000 0.3854 0.2500  1 Ni 2.30
Se2 0.3854 0.3854 0.7500  1 Ni 2.30
Se3 0.0000 0.0000 0.5000  2 Se 2.64, 6 Ni 2.66
Se4 0.3854 0.0000 0.2500  1 Ni 2.30
Se5 0.6146 0.6146 0.2500  1 Ni 2.30
Se6 0.0000 0.0000 0.0000  2 Se 2.64, 6 Ni 2.66
Se7 0.0000 0.6146 0.7500  1 Ni 2.30
Se8 0.6146 0.0000 0.7500  1 Ni 2.30



[4]
The following is a PBE-GGA calculation of crystalline Ni3Se at its relaxed geometry, from Alexandria via LeMat-Bulk.

## Properties
- energy above the most stable polymorph in this dataset (eV/f.u.) = 3.025
- energy relative to the elements, uncorrected (eV/f.u.) = 3.07
- total moment (Bohr magnetons per cell) = 1.61
- ρ (g/cm³) = 4.9
- volume (Å³/cell) = 86

Cell lengths 4.4088, 4.4088, 4.4088 Å; angles 90.00, 90.00, 90.00 degrees
Last column: nearest neighbours and their distance in Å.
Positions (direct):
Ni1 0.0000 0.5000 0.0000  2 Se 2.20
Ni2 0.0000 0.0000 0.5000  2 Se 2.20
Ni3 0.5000 0.0000 0.0000  2 Se 2.20
Se1 0.0000 0.0000 0.0000  6 Ni 2.20



[5]
The following is a PBE-GGA calculation of crystalline Ni3Se at its relaxed geometry, from Alexandria via LeMat-Bulk.

## Properties
- energy above the most stable polymorph in this dataset (eV/f.u.) = 0.491
- energy relative to the elements, uncorrected (eV/f.u.) = 0.54
- total moment (Bohr magnetons per cell) = 0.00
- ρ (g/cm³) = 7.5
- volume (Å³/cell) = 56

Cell lengths 3.6190, 3.6190, 4.9638 Å; angles 90.00, 90.00, 120.00 degrees
Last column: nearest neighbours and their distance in Å.
Positions (direct):
Ni1 0.6667 0.3333 0.2500  6 Ni 2.43, 2 Se 2.48
Ni2 0.0000 0.0000 0.5011  3 Se 2.43, 5 Ni 2.43-2.49
Ni3 0.0000 0.0000 0.9989  3 Se 2.43, 5 Ni 2.43-2.49
Se1 0.6667 0.3333 0.7500  8 Ni 2.43-2.48



[6]
The following is a PBE-GGA calculation of crystalline Ni4Se at its relaxed geometry, from Alexandria via LeMat-Bulk.

## Properties
- energy relative to the elements, uncorrected (eV/f.u.) = 1.82
- total moment (Bohr magnetons per cell) = 0.81
- ρ (g/cm³) = 7.3
- volume (Å³/cell) = 72

Cell lengths 4.5296, 4.5296, 4.5296 Å; angles 109.47, 109.47, 109.47 degrees
Last column: nearest neighbours and their distance in Å.
Positions (direct):
Ni1 0.5000 0.0000 0.0000  2 Se 2.26
Ni2 0.5000 0.5000 0.5000  2 Se 2.26
Ni3 0.0000 0.5000 0.0000  2 Se 2.26
Ni4 0.0000 0.0000 0.5000  2 Se 2.26
Se1 0.0000 0.0000 0.0000  8 Ni 2.26



[7]
The following is a PBE-GGA calculation of crystalline Ni3Se at its relaxed geometry, from Alexandria via LeMat-Bulk.

## Properties
- energy above the most stable polymorph in this dataset (eV/f.u.) = 0.381
- energy relative to the elements, uncorrected (eV/f.u.) = 0.43
- total moment (Bohr magnetons per cell) = 1.76
- ρ (g/cm³) = 8.7
- volume (Å³/cell) = 49

Cell lengths 3.6510, 3.6510, 3.6510 Å; angles 90.00, 90.00, 90.00 degrees
Last column: nearest neighbours and their distance in Å.
Positions (direct):
Se1 0.0000 0.0000 0.0000  12 Ni 2.58
Ni1 0.5000 0.0000 0.5000  8 Ni 2.58, 4 Se 2.58
Ni2 0.5000 0.5000 0.0000  8 Ni 2.58, 4 Se 2.58
Ni3 0.0000 0.5000 0.5000  8 Ni 2.58, 4 Se 2.58



[8]
The following is a PBE-GGA calculation of crystalline Ni2Se at its relaxed geometry, from Alexandria via LeMat-Bulk.

## Properties
- energy relative to the elements, uncorrected (eV/f.u.) = 1.14
- total moment (Bohr magnetons per cell) = 1.89
- ρ (g/cm³) = 7.9
- volume (Å³/cell) = 82

Cell lengths 4.8772, 4.8772, 4.8772 Å; angles 60.00, 60.00, 60.00 degrees
Last column: nearest neighbours and their distance in Å.
Positions (direct):
Se1 0.5000 0.5000 0.5000  12 Ni 2.86, 4 Se 2.99
Se2 0.7500 0.7500 0.7500  12 Ni 2.86, 4 Se 2.99
Ni1 0.1250 0.1250 0.6250  6 Ni 2.44
Ni2 0.6250 0.1250 0.1250  6 Ni 2.44
Ni3 0.1250 0.6250 0.1250  6 Ni 2.44
Ni4 0.1250 0.1250 0.1250  6 Ni 2.44



- Which formula does entry 4 have?
  Ni3Se



What did the sixth record say?
The following is a PBE-GGA calculation of crystalline Ni4Se at its relaxed geometry, from Alexandria via LeMat-Bulk.

## Properties
- energy relative to the elements, uncorrected (eV/f.u.) = 1.82
- total moment (Bohr magnetons per cell) = 0.81
- ρ (g/cm³) = 7.3
- volume (Å³/cell) = 72

Cell lengths 4.5296, 4.5296, 4.5296 Å; angles 109.47, 109.47, 109.47 degrees
Last column: nearest neighbours and their distance in Å.
Positions (direct):
Ni1 0.5000 0.0000 0.0000  2 Se 2.26
Ni2 0.5000 0.5000 0.5000  2 Se 2.26
Ni3 0.0000 0.5000 0.0000  2 Se 2.26
Ni4 0.0000 0.0000 0.5000  2 Se 2.26
Se1 0.0000 0.0000 0.0000  8 Ni 2.26



Copy entry 3 word for word.
The following is a PBE-GGA calculation of crystalline Ni5Se4 at its relaxed geometry, from Alexandria via LeMat-Bulk.

## Properties
- energy relative to the elements, uncorrected (eV/f.u.) = 1.02
- total moment (Bohr magnetons per cell) = 0.00
- ρ (g/cm³) = 7.9
- volume (Å³/cell) = 257

Cell lengths 7.4942, 7.4942, 5.2828 Å; angles 90.00, 90.00, 120.00 degrees
Last column: nearest neighbours and their distance in Å.
Positions (direct):
Ni1 0.6667 0.3333 0.0000  8 Ni 2.64-2.91, 6 Se 2.68
Ni2 0.0000 0.3081 0.7500  1 Se 2.30
Ni3 0.6667 0.3333 0.5000  8 Ni 2.64-2.91, 6 Se 2.68
Ni4 0.3333 0.6667 0.5000  8 Ni 2.64-2.91, 6 Se 2.68
Ni5 0.6919 0.6919 0.7500  1 Se 2.30
Ni6 0.3081 0.0000 0.7500  1 Se 2.30
Ni7 0.6919 0.0000 0.2500  1 Se 2.30
Ni8 0.3081 0.3081 0.2500  1 Se 2.30
Ni9 0.3333 0.6667 0.0000  8 Ni 2.64-2.91, 6 Se 2.68
Ni10 0.0000 0.6919 0.2500  1 Se 2.30
Se1 0.0000 0.3854 0.2500  1 Ni 2.30
Se2 0.3854 0.3854 0.7500  1 Ni 2.30
Se3 0.0000 0.0000 0.5000  2 Se 2.64, 6 Ni 2.66
Se4 0.3854 0.0000 0.2500  1 Ni 2.30
Se5 0.6146 0.6146 0.2500  1 Ni 2.30
Se6 0.0000 0.0000 0.0000  2 Se 2.64, 6 Ni 2.66
Se7 0.0000 0.6146 0.7500  1 Ni 2.30
Se8 0.6146 0.0000 0.7500  1 Ni 2.30